[1]
CrPdS2 | PBE | relaxed

a = 3.8349 Å, b = 3.8349 Å, c = 18.2058 Å
α = 90.00°, β = 90.00°, γ = 120.00°
Space group R3m (No. 160, hexagonal axes)
Unique sites:
Cr: 0.0000 0.0000 0.0000
Pd: 0.0000 0.0000 0.5001
S: 0.0000 0.0000 0.1180
S: 0.0000 0.0000 0.6319

- Total moment: 2.10 μB/f.u.
- Raw formation energy: -0.31 eV per atom

=====

[2]
TmGa2Ni | PBE | relaxed

a = 15.308 Å, b = 6.638 Å, c = 5.350 Å
α = 90.00°, β = 90.00°, γ = 90.00°
Space group Pnma (No. 62)
Unique sites:
Tm: 0.106 0.250 0.235
Tm: 0.144 0.750 0.478
Ga: 0.034 0.053 0.743
Ga: 0.214 0.554 0.969
Ni: 0.073 0.750 0.996
Ni: 0.175 0.250 0.721

- Energy of formation from the pure elements: -0.6315 eV/atom
- Total moment: 0.00 μB/f.u.

=====

[3]
Nd3Sm5Y3 | PBE | relaxed

a = 9.7246 Å, b = 9.7246 Å, c = 5.5647 Å
α = 90.00°, β = 90.00°, γ = 120.00°
Space group P-62m (No. 189)
Unique sites:
Nd: 0.0000 0.6398 0.0000
Sm: 0.0000 0.2696 0.0000
Sm: 0.3333 0.6667 0.0000
Y: 0.0000 0.4643 0.5000

- E above lowest polymorph: 0.009 eV per atom
- Energy of formation from the pure elements: 0.7689 eV/atom
- Total moment: 0.00 μB/f.u.

=====

[4]
Ti2VH | PBE | relaxed

a = 2.8651 Å, b = 2.8651 Å, c = 20.9010 Å
α = 90.00°, β = 90.00°, γ = 120.00°
Space group R3m (No. 160, hexagonal axes)
Unique sites:
Ti: 0.0000 0.0000 0.0000
Ti: 0.0000 0.0000 0.2117
V: 0.0000 0.0000 0.4399
H: 0.0000 0.0000 0.6067

- E above lowest polymorph: 0.000 eV per atom
- Total moment: 0.00 μB/f.u.

=====

[5]
Dy2CoSi4Ni3 | PBE | relaxed

a = 3.936 Å, b = 3.936 Å, c = 9.561 Å
α = 90.00°, β = 90.00°, γ = 90.00°
Space group P-4m2 (No. 115)
Unique sites:
Dy: 0.000 0.500 0.249
Co: 0.000 0.000 0.500
Si: 0.000 0.000 0.000
Si: 0.000 0.500 0.629
Si: 0.500 0.500 0.000
Ni: 0.000 0.500 0.872
Ni: 0.500 0.500 0.500

- Total moment: 0.63 μB/f.u.
- Raw formation energy: -0.83 eV per atom

=====

[6]
LiPrAu3 | PBE | relaxed

a = 22.189 Å, b = 4.291 Å, c = 4.528 Å
α = 90.00°, β = 101.62°, γ = 90.00°
Space group C2/m (No. 12)
Unique sites:
Li: 0.149 0.000 0.399
Pr: 0.093 0.500 0.844
Au: 0.035 0.000 0.284
Au: 0.201 0.000 0.952
Au: 0.203 0.500 0.453

- E above lowest polymorph: 0.000 eV per atom
- Energy of formation from the pure elements: -0.5204 eV/atom
- Total moment: 0.00 μB/f.u.

=====

[7]
Nd5Co2Ge | PBE | relaxed

a = 7.749 Å, b = 7.749 Å, c = 13.392 Å
α = 90.00°, β = 90.00°, γ = 90.00°
Space group I4/mcm (No. 140)
Unique sites:
Nd: 0.000 0.000 0.000
Nd: 0.165 0.335 0.139
Co: 0.126 0.374 0.500
Ge: 0.000 0.000 0.250

- Energy of formation from the pure elements: -0.2569 eV/atom
- Total moment: 0.00 μB/f.u.

=====

[8]
La2CdSn | PBE | relaxed

a = 8.832 Å, b = 8.832 Å, c = 6.644 Å
α = 90.00°, β = 90.00°, γ = 90.00°
Space group I-42d (No. 122)
Unique sites:
La: 0.249 0.250 0.125
Cd: 0.000 0.000 0.500
Sn: 0.000 0.000 0.000

- Energy of formation from the pure elements: -0.2418 eV/atom
- Total moment: 0.71 μB/f.u.

=====

[9]
CsYCl3 | PBE | relaxed

a = 17.591 Å, b = 3.943 Å, c = 11.628 Å
α = 90.00°, β = 119.19°, γ = 90.00°
Space group Cm (No. 8)
Unique sites:
Cs: 0.000 0.000 0.000
Cs: 0.181 0.000 0.763
Y: 0.313 0.000 0.242
Y: 0.389 0.500 0.547
Cl: 0.187 0.500 0.091
Cl: 0.264 0.000 0.429
Cl: 0.312 0.500 0.704
Cl: 0.371 0.000 0.072
Cl: 0.470 0.000 0.458
Cl: 0.493 0.000 0.740

- Total moment: 0.00 μB/f.u.
- Raw formation energy: -1.94 eV per atom

=====

[10]
CePm2ErTm4 | PBE | relaxed

a = 6.121 Å, b = 3.535 Å, c = 11.654 Å
α = 90.00°, β = 100.16°, γ = 90.00°
Space group P2/m (No. 10)
Unique sites:
Ce: 0.000 0.000 0.000
Pm: 0.500 0.000 0.500
Pm: 0.500 0.500 0.000
Er: 0.000 0.500 0.500
Tm: 0.246 0.000 0.750
Tm: 0.246 0.500 0.249

- Energy of formation from the pure elements: 0.0434 eV/atom
- Total moment: 0.80 μB/f.u.

=====

[11]
Tb6Y2S3 | PBE | relaxed

a = 3.7629 Å, b = 3.7629 Å, c = 73.6020 Å
α = 90.00°, β = 90.00°, γ = 120.00°
Space group R-3m (No. 166, hexagonal axes)
Unique sites:
Tb: 0.0000 0.0000 0.0687
Tb: 0.0000 0.0000 0.1857
Tb: 0.0000 0.0000 0.3569
Y: 0.0000 0.0000 0.4420
S: 0.0000 0.0000 0.0000
S: 0.0000 0.0000 0.2875

- Total moment: 0.00 μB/f.u.
- Raw formation energy: -1.05 eV per atom

=====

[12]
CaHg2Pb2 | PBE | relaxed

a = 5.616 Å, b = 9.263 Å, c = 6.245 Å
α = 90.00°, β = 90.14°, γ = 90.00°
Space group C2/m (No. 12)
Unique sites:
Ca: 0.000 0.000 0.000
Hg: 0.001 0.500 0.246
Pb: 0.000 0.170 0.500

- E above lowest polymorph: 0.140 eV per atom
- Energy of formation from the pure elements: -0.1193 eV/atom
- Total moment: 0.00 μB/f.u.

=====

[13]
BaCuAs | PBE | relaxed

a = 6.529 Å, b = 6.529 Å, c = 4.516 Å
α = 90.00°, β = 90.00°, γ = 90.00°
Space group P4/nmm (No. 129, origin choice 2)
Unique sites:
Ba: 0.250 0.750 0.000
Cu: 0.250 0.250 0.311
As: 0.250 0.250 0.806

- Energy of formation from the pure elements: -0.5014 eV/atom
- Total moment: 0.00 μB/f.u.